La3CdBi: single point on PBEsol structure, meta-GGA SCAN.

Properties
**Magnetic moment**: 0.00 Bohr magnetons per cell
**Calculated formation energy**: 0.06 eV/f.u.
**Total DFT energy (no corrections)**: -47.65 eV per atom

Lattice parameters (Å, degrees): 6.0268 6.0268 6.0268 90.00 90.00 90.00
Positions (direct):
La (0.0000, 0.0000, 0.5000)
La (0.0000, 0.5000, 0.0000)
La (0.5000, 0.0000, 0.0000)
Cd (0.5000, 0.5000, 0.5000)
Bi (0.0000, 0.0000, 0.0000)